1.
A plane-wave DFT calculation with PBE was carried out for a relaxed ReAgMo2Ir crystal.

As for the density of states at the Fermi level: 1.537 states/eV per atom. For the formation energy from the elements, the calculation gives 2130 meV/atom. The total magnetization comes out at 0.0 μB/f.u. The value obtained for the calculated volume is 20.820 Å³/atom.

It has space group P4/mmm (No. 123), with a = 4.650 Å, b = 4.650 Å, c = 4.814 Å, α = 90.00°, β = 90.00° and γ = 90.00°. The distinct sites, in fractional coordinates, are Re at (0.000, 0.000, 0.000), Ag at (0.500, 0.500, 0.000), Mo at (0.000, 0.500, 0.500) and Ir at (0.500, 0.500, 0.500).

2.
A plane-wave DFT calculation with PBE was carried out for a relaxed LiCaAl2 crystal.

As for the density of states at the Fermi level: 0.441 states/eV per atom. For the formation energy from the elements, the calculation gives -158 meV/atom. The excess energy over the best structure of this formula in the dataset is 0.001 eV per atom. The total magnetization comes out at 0.0 μB/f.u. The value obtained for the calculated volume is 20.583 Å³/atom.

It has space group P4/mmm (No. 123), with a = 3.388 Å, b = 3.388 Å, c = 7.174 Å, α = 90.00°, β = 90.00° and γ = 90.00°. The distinct sites, in fractional coordinates, are Li at (0.000, 0.000, 0.000), Ca at (0.000, 0.000, 0.500) and Al at (0.500, 0.500, 0.191).

3.
A plane-wave DFT calculation with PBE was carried out for a relaxed Ba2YW crystal.

As for the density of states at the Fermi level: 1.874 states/eV per atom. For the formation energy from the elements, the calculation gives 1226 meV/atom. The excess energy over the best structure of this formula in the dataset is 0.480 eV per atom. The total magnetization comes out at 0.7 μB/f.u. The value obtained for the calculated volume is 31.753 Å³/atom.

It has space group Cmmm (No. 65), with a = 6.663 Å, b = 11.499 Å, c = 3.315 Å, α = 90.00°, β = 90.00° and γ = 90.00°. The distinct sites, in fractional coordinates, are Ba at (0.250, 0.250, 0.000), Y at (0.000, 0.000, 0.500) and W at (0.000, 0.500, 0.500).

4.
A plane-wave DFT calculation with PBE was carried out for a relaxed CsSn3P crystal.

As for the density of states at the Fermi level: 1.136 states/eV per atom. For the formation energy from the elements, the calculation gives 1861 meV/atom. The excess energy over the best structure of this formula in the dataset is 1.591 eV per atom. The total magnetization comes out at 0.0 μB/f.u. The value obtained for the calculated volume is 46.208 Å³/atom.

It has space group Pm-3m (No. 221), with a = 6.136 Å, b = 6.136 Å, c = 6.136 Å, α = 90.00°, β = 90.00° and γ = 90.00°. The distinct sites, in fractional coordinates, are Cs at (0.000, 0.000, 0.000), Sn at (0.000, 0.000, 0.500) and P at (0.500, 0.500, 0.500).

5.
A plane-wave DFT calculation with PBE was carried out for a relaxed Ca3MgP crystal.

As for the density of states at the Fermi level: 0.983 states/eV per atom. For the formation energy from the elements, the calculation gives -269 meV/atom. The excess energy over the best structure of this formula in the dataset is 0.298 eV per atom. The total magnetization comes out at 0.0 μB/f.u. The value obtained for the calculated volume is 32.305 Å³/atom.

It has space group Cmcm (No. 63), with a = 9.019 Å, b = 11.056 Å, c = 6.479 Å, α = 90.00°, β = 90.00° and γ = 90.00°. The distinct sites, in fractional coordinates, are Ca at (0.000, 0.000, 0.000), Ca at (0.190, 0.305, 0.250), Mg at (0.000, 0.438, 0.750) and P at (0.000, 0.209, 0.750).

6.
A plane-wave DFT calculation with PBE was carried out for a relaxed TiTlCl3 crystal.

As for the density of states at the Fermi level: 0.221 states/eV per atom. The excess energy over the best structure of this formula in the dataset is 0.000 eV per atom. The total magnetization comes out at 0.0 μB/f.u. The value obtained for the calculated volume is 25.431 Å³/atom.

It has space group C2/m (No. 12), with a = 17.180 Å, b = 3.415 Å, c = 8.943 Å, α = 90.00°, β = 104.23° and γ = 90.00°. The distinct sites, in fractional coordinates, are Ti at (0.212, 0.000, 0.371), Tl at (0.091, 0.500, 0.890), Cl at (0.075, 0.000, 0.171), Cl at (0.145, 0.500, 0.500) and Cl at (0.247, 0.500, 0.191).

7.
A plane-wave DFT calculation with PBE was carried out for a relaxed PmTl2Te2O6 crystal.

As for the density of states at the Fermi level: 0.235 states/eV per atom. For the electronic total energy, the calculation gives -60.08 eV/f.u. The total magnetization comes out at 0.0 μB/f.u. The value obtained for the calculated volume is 20.342 Å³/atom.

It has space group C2/m (No. 12), with a = 10.093 Å, b = 7.081 Å, c = 6.757 Å, α = 90.00°, β = 112.08° and γ = 90.00°. The distinct sites, in fractional coordinates, are Pm at (0.000, 0.000, 0.000), Tl at (0.185, 0.000, 0.617), Te at (0.055, 0.500, 0.744), O at (0.041, 0.216, 0.765) and O at (0.249, 0.000, 0.211).

8.
A plane-wave DFT calculation with PBE was carried out for a relaxed KInSn2 crystal.

As for the density of states at the Fermi level: 0.519 states/eV per atom. For the formation energy from the elements, the calculation gives -12 meV/atom. The total magnetization comes out at 0.0 μB/f.u. The value obtained for the calculated volume is 29.107 Å³/atom.

It has space group P4/mmm (No. 123), with a = 4.918 Å, b = 4.918 Å, c = 4.814 Å, α = 90.00°, β = 90.00° and γ = 90.00°. The distinct sites, in fractional coordinates, are K at (0.000, 0.000, 0.000), In at (0.500, 0.500, 0.000) and Sn at (0.000, 0.500, 0.500).

Question: Look up the calculated volume of the seventh one.
Answer: 20.342 Å³/atom

Question: Which of these has the lowest calculated volume?
Answer: PmTl2Te2O6